1.
DFT (meta-GGA SCAN) results for a PBEsol-optimized structure of LiRuRh2.

Values from the calculation:
Formation enthalpy at 0 K   47 meV per atom
Crystal system   tetragonal

The structure in CIF format:
```
data_LiRuRh2
_cell_length_a 4.648
_cell_length_b 4.648
_cell_length_c 4.648
_cell_angle_alpha 133.87
_cell_angle_beta 133.87
_cell_angle_gamma 67.29
_symmetry_space_group_name_H-M 'P 1'
_symmetry_Int_Tables_number 1
loop_
_symmetry_equiv_pos_as_xyz
'x,y,z'
loop_
_atom_site_label
_atom_site_fract_x
_atom_site_fract_y
_atom_site_fract_z
_atom_site_occupancy
Li1 0.000 0.000 0.000 1
Ru1 0.250 0.750 0.500 1
Rh1 0.500 0.500 0.000 1
Rh2 0.750 0.250 0.500 1
```

=====

2.
DFT (meta-GGA SCAN) results for a PBEsol-optimized structure of HfCl3O.

Values from the calculation:
Crystal system   cubic

The structure in CIF format:
```
data_HfCl3O
_cell_length_a 4.372
_cell_length_b 4.372
_cell_length_c 4.372
_cell_angle_alpha 90.00
_cell_angle_beta 90.00
_cell_angle_gamma 90.00
_symmetry_space_group_name_H-M 'P 1'
_symmetry_Int_Tables_number 1
loop_
_symmetry_equiv_pos_as_xyz
'x,y,z'
loop_
_atom_site_label
_atom_site_fract_x
_atom_site_fract_y
_atom_site_fract_z
_atom_site_occupancy
Hf1 0.000 0.000 0.000 1
Cl1 0.000 0.500 0.500 1
Cl2 0.500 0.000 0.500 1
Cl3 0.500 0.500 0.000 1
O1 0.500 0.500 0.500 1
```

=====

3.
DFT (meta-GGA SCAN) results for a PBEsol-optimized structure of Ti3Co20B6.

Values from the calculation:
Formation enthalpy at 0 K   -273 meV per atom
Crystal system   cubic

The structure in CIF format:
```
data_Ti3Co20B6
_cell_length_a 7.312
_cell_length_b 7.312
_cell_length_c 7.312
_cell_angle_alpha 60.00
_cell_angle_beta 60.00
_cell_angle_gamma 60.00
_symmetry_space_group_name_H-M 'P 1'
_symmetry_Int_Tables_number 1
loop_
_symmetry_equiv_pos_as_xyz
'x,y,z'
loop_
_atom_site_label
_atom_site_fract_x
_atom_site_fract_y
_atom_site_fract_z
_atom_site_occupancy
Ti1 0.000 0.000 0.000 1
Ti2 0.250 0.250 0.250 1
Ti3 0.750 0.750 0.750 1
Co1 0.000 0.000 0.342 1
Co2 0.000 0.000 0.658 1
Co3 0.000 0.342 0.000 1
Co4 0.000 0.342 0.658 1
Co5 0.000 0.658 0.000 1
Co6 0.000 0.658 0.342 1
Co7 0.147 0.618 0.618 1
Co8 0.342 0.000 0.000 1
Co9 0.342 0.000 0.658 1
Co10 0.342 0.658 0.000 1
Co11 0.382 0.382 0.382 1
Co12 0.382 0.382 0.853 1
Co13 0.382 0.853 0.382 1
Co14 0.618 0.147 0.618 1
Co15 0.618 0.618 0.147 1
Co16 0.618 0.618 0.618 1
Co17 0.658 0.000 0.000 1
Co18 0.658 0.000 0.342 1
Co19 0.658 0.342 0.000 1
Co20 0.853 0.382 0.382 1
B1 0.271 0.271 0.729 1
B2 0.271 0.729 0.271 1
B3 0.271 0.729 0.729 1
B4 0.729 0.271 0.271 1
B5 0.729 0.271 0.729 1
B6 0.729 0.729 0.271 1
```

=====

Electronic total energy, record by record: -26.143, -18.092, -15.402 eV/atom